VASP calculation (PBE) on a relaxed structure of Rb2AlFeC.

Calculated values
* total moment: 3.07 μB/cell
* calculated density: 2.57 g/cm3
* E_tot: -0.12827 hartree per atom
* space-group type: P4/mmm (123)
* ΔE_f: 1182 meV per atom

a b c (Å): 6.8820 3.6246 6.8820
angles (deg): 90.00 90.00 90.00
Closest atoms and distances in Å follow each position.
Sites, in units of the cell vectors:
Al 0.0000 0.0000 0.0000  2 C 1.81
Fe 0.5000 0.5000 0.5000  2 Fe 3.62, 8 Rb 3.89
Rb 0.0000 0.0000 0.5000  2 Al 3.44, 2 Rb 3.62
C 0.0000 0.5000 0.0000  2 Al 1.81
Rb 0.5000 0.0000 0.0000  2 Al 3.44, 2 Rb 3.62